No. 1
# Ba6P2NF3 | Alexandria | PBE | relaxed
data_Ba6P2NF3
_chemical_formula_sum 'Ba12 P4 N2 F6'
_symmetry_space_group_name_H-M 'C 1 2/m 1'
_symmetry_Int_Tables_number 12
_cell_length_a 7.5354
_cell_length_b 13.6514
_cell_length_c 7.2191
_cell_angle_alpha 90.00
_cell_angle_beta 106.48
_cell_angle_gamma 90.00
loop_
_symmetry_equiv_pos_as_xyz
'x,y,z'
'-x,-y,-z'
'-x,y,-z'
'x,-y,z'
'x+1/2,y+1/2,z'
'-x+1/2,-y+1/2,-z'
'-x+1/2,y+1/2,-z'
'x+1/2,-y+1/2,z'
loop_
_atom_site_label
_atom_site_type_symbol
_atom_site_fract_x
_atom_site_fract_y
_atom_site_fract_z
Ba1 Ba 0.2069 0.1455 0.2336
Ba2 Ba 0.2470 0.5000 0.2407
P1 P 0.0000 0.3280 0.0000
N1 N 0.0000 0.0000 0.0000
F1 F 0.0000 0.1181 0.5000
F2 F 0.0000 0.5000 0.5000
# * size of the total moment: 0.000 μB/f.u.
# * electronic total energy: -4.91 eV/atom
# * raw formation energy: -1.89 eV per atom

***

No. 2
# Li3ReH6 | Alexandria | PBE | relaxed
data_Li3ReH6
_chemical_formula_sum 'Li12 Re4 H24'
_symmetry_space_group_name_H-M 'C m c 21'
_symmetry_Int_Tables_number 36
_cell_length_a 8.8007
_cell_length_b 7.1164
_cell_length_c 4.9084
_cell_angle_alpha 90.00
_cell_angle_beta 90.00
_cell_angle_gamma 90.00
loop_
_symmetry_equiv_pos_as_xyz
'x,y,z'
'-x,-y,z+1/2'
'-x,y,z'
'x,-y,z+1/2'
'x+1/2,y+1/2,z'
'-x+1/2,-y+1/2,z+1/2'
'-x+1/2,y+1/2,z'
'x+1/2,-y+1/2,z+1/2'
loop_
_atom_site_label
_atom_site_type_symbol
_atom_site_fract_x
_atom_site_fract_y
_atom_site_fract_z
Li1 Li 0.0000 0.0342 0.0000
Li2 Li 0.1804 0.3414 0.1057
Re1 Re 0.0000 0.3316 0.5812
H1 H 0.0000 0.1949 0.2895
H2 H 0.0000 0.4336 0.9256
H3 H 0.1122 0.1664 0.7395
H4 H 0.1910 0.3872 0.5348
# * size of the total moment: 0.000 μB/f.u.
# * electronic total energy: -4.12 eV/atom

***

No. 3
# TmVTe2 | Alexandria | PBE | relaxed
data_TmVTe2
_chemical_formula_sum 'Tm3 V3 Te6'
_symmetry_space_group_name_H-M 'R -3 m'
_symmetry_Int_Tables_number 166
_symmetry_space_group_name_Hall '-R 3 2"'
_cell_length_a 4.2618
_cell_length_b 4.2618
_cell_length_c 19.5231
_cell_angle_alpha 90.00
_cell_angle_beta 90.00
_cell_angle_gamma 120.00
loop_
_atom_site_label
_atom_site_type_symbol
_atom_site_fract_x
_atom_site_fract_y
_atom_site_fract_z
Tm1 Tm 0.0000 0.0000 0.0000
V1 V 0.0000 0.0000 0.5000
Te1 Te 0.0000 0.0000 0.2411
# * size of the total moment: 2.851 μB/f.u.
# * electronic total energy: -5.58 eV/atom
# * raw formation energy: -0.61 eV per atom

***

No. 4
# Mn2TeMo | Alexandria | PBE | relaxed
data_Mn2TeMo
_chemical_formula_sum 'Mn4 Te2 Mo2'
_symmetry_space_group_name_H-M 'I -4 m 2'
_symmetry_Int_Tables_number 119
_symmetry_space_group_name_Hall 'I -4 -2'
_cell_length_a 3.9129
_cell_length_b 3.9129
_cell_length_c 7.9237
_cell_angle_alpha 90.00
_cell_angle_beta 90.00
_cell_angle_gamma 90.00
loop_
_atom_site_label
_atom_site_type_symbol
_atom_site_fract_x
_atom_site_fract_y
_atom_site_fract_z
Mn1 Mn 0.0000 0.0000 0.0000
Mn2 Mn 0.0000 0.5000 0.2500
Te1 Te 0.0000 0.0000 0.5000
Mo1 Mo 0.0000 0.5000 0.7500
# * size of the total moment: 4.349 μB/f.u.
# * electronic total energy: -7.72 eV/atom
# * raw formation energy: 0.36 eV per atom